No. 1
First-principles (GGA-PBE) data for K2SiW after structural relaxation, as listed in the Alexandria database.

Unit cell a=10.6565 b=10.6565 c=10.6565 alpha=161.25 beta=161.04 gamma=26.78
Fractional coordinates of all 4 atoms:
K: 0.8990 0.8990 0.0000
K: 0.6010 0.6010 0.0000
Si: 0.7500 0.2500 0.5000
W: 0.2500 0.7500 0.5000

Calculated values
N(E_F) (states/eV/atom): 0.780
Crystal system: orthorhombic
Uncorrected formation energy (meV/atom): 558.0

No. 2
First-principles (GGA-PBE) data for PmTmGaTc after structural relaxation, as listed in the Alexandria database.

Unit cell a=4.9838 b=4.9838 c=4.9838 alpha=60.00 beta=60.00 gamma=60.00
Fractional coordinates of all 4 atoms:
Tm: 0.0000 0.0000 0.0000
Tc: 0.2500 0.2500 0.2500
Ga: 0.7500 0.7500 0.7500
Pm: 0.5000 0.5000 0.5000

Calculated values
N(E_F) (states/eV/atom): 0.905
Crystal system: cubic
E (Ry/atom): -0.4292